A relaxed NpAlAgS4 crystal, computed with PBE-GGA.

POSCAR file:
```
NpAlAgS4
1.0
-1.2668 7.0723 1.1864
-2.1635 4.3448 -5.8607
-7.2017 2.4579 0.0075
Np Al Ag S
2 2 2 8
direct
0.0000 0.0000 0.0000 Np
0.0000 0.5000 0.5000 Np
0.5000 0.0000 0.5000 Al
0.0000 0.0000 0.5000 Al
0.6533 0.5967 0.0967 Ag
0.3467 0.4033 0.9033 Ag
0.7493 0.7958 0.7056 S
0.2507 0.7944 0.7042 S
0.7493 0.2056 0.2958 S
0.2507 0.2042 0.2944 S
0.2268 0.7669 0.2669 S
0.7393 0.7669 0.2669 S
0.2607 0.2331 0.7331 S
0.7732 0.2331 0.7331 S
```

M_tot = 6.0 μB per cell
Raw formation energy = -0.899 eV per atom
Volume = 22.2 Å³ per atom
Fermi-level density of states = 17.150 states/eV per cell
Theoretical density = 5.3 g/cm3
Space group = No. 74

---

A relaxed Np3AlAg3Se8 crystal, computed with PBE-GGA.

POSCAR file:
```
Np3AlAg3Se8
1.0
8.2904 -0.0001 0.0000
-4.1453 7.1788 -0.0224
0.0000 -4.7692 6.3790
Np Al Ag Se
3 1 3 8
direct
0.5000 0.0000 0.5000 Np
0.5000 0.5000 0.5000 Np
0.0000 0.5000 0.5000 Np
0.0000 0.0000 0.5000 Al
0.0000 0.0000 0.0000 Ag
0.0000 0.5000 0.0000 Ag
0.5000 0.5000 0.0000 Ag
0.2519 0.5037 0.2557 Se
0.7481 0.4963 0.7443 Se
0.7707 0.5414 0.2700 Se
0.2293 0.4586 0.7300 Se
0.7709 0.9992 0.2702 Se
0.2291 0.0008 0.7298 Se
0.2283 0.9992 0.2702 Se
0.7717 0.0008 0.7298 Se
```

M_tot = 11.0 μB per cell
Raw formation energy = -0.701 eV per atom
Volume = 25.3 Å³ per atom
Fermi-level density of states = 27.383 states/eV per cell
Theoretical density = 7.4 g/cm3
Space group = No. 166

---

A relaxed AlAgO3 crystal, computed with PBE-GGA.

POSCAR file:
```
AlAgO3
1.0
-1.6046 -0.3997 3.8270
-5.3017 -0.5284 -2.2781
1.2408 -10.1314 -0.5378
Al Ag O
4 4 12
direct
0.4738 0.1891 0.2500 Al
0.9738 0.3109 0.7500 Al
0.0262 0.6891 0.2500 Al
0.5262 0.8109 0.7500 Al
0.5000 0.5000 0.0000 Ag
0.0000 0.0000 0.0000 Ag
0.0000 0.0000 0.5000 Ag
0.5000 0.5000 0.5000 Ag
0.1897 0.2819 0.9028 O
0.6897 0.2181 0.0972 O
0.3103 0.7819 0.5972 O
0.8103 0.7181 0.4028 O
0.8103 0.7181 0.0972 O
0.3103 0.7819 0.9028 O
0.6897 0.2181 0.4028 O
0.1897 0.2819 0.5972 O
0.7838 0.0437 0.7500 O
0.2838 0.4563 0.2500 O
0.7162 0.5437 0.7500 O
0.2162 0.9563 0.2500 O
```

M_tot = 0.0 μB per cell
Raw formation energy = -1.340 eV per atom
Volume = 12.3 Å³ per atom
Fermi-level density of states = 6.391 states/eV per cell
Theoretical density = 4.9 g/cm3
Space group = No. 62

---

A relaxed AlAgO3 crystal, computed with PBE-GGA.

POSCAR file:
```
AlAgO3
1.0
3.0221 -5.2344 0.0000
3.0221 5.2344 0.0000
0.0000 0.0000 10.8492
Al Ag O
6 6 18
direct
0.6667 0.3333 0.2429 Al
0.3333 0.6667 0.7429 Al
0.6667 0.3333 0.7429 Al
0.3333 0.6667 0.2429 Al
0.0000 0.0000 0.7443 Al
0.0000 0.0000 0.2443 Al
0.6741 0.0000 0.4970 Ag
0.6741 0.6741 0.9970 Ag
0.0000 0.3259 0.9970 Ag
0.0000 0.6741 0.4970 Ag
0.3259 0.3259 0.4970 Ag
0.3259 0.0000 0.9970 Ag
0.6667 0.3333 0.0675 O
0.3333 0.6667 0.5675 O
0.6667 0.3333 0.5675 O
0.3333 0.6667 0.0675 O
0.0000 0.0000 0.9108 O
0.0000 0.0000 0.4108 O
0.4470 0.0000 0.8216 O
0.4470 0.4470 0.3216 O
0.0000 0.5530 0.3216 O
0.0000 0.4470 0.8216 O
0.5530 0.5530 0.8216 O
0.5530 0.0000 0.3216 O
0.2715 0.0000 0.1811 O
0.2715 0.2715 0.6811 O
0.0000 0.7285 0.6811 O
0.0000 0.2715 0.1811 O
0.7285 0.7285 0.1811 O
0.7285 0.0000 0.6811 O
```

M_tot = 0.0 μB per cell
Raw formation energy = -1.199 eV per atom
Volume = 11.4 Å³ per atom
Fermi-level density of states = 6.724 states/eV per cell
Theoretical density = 5.3 g/cm3
Space group = No. 185

---

A relaxed Al11AgO17 crystal, computed with PBE-GGA.

POSCAR file:
```
Al11AgO17
1.0
5.6525 -0.0005 0.0000
-2.8243 4.8963 0.0000
0.0000 0.0000 22.8054
Al Ag O
22 2 34
direct
0.3349 0.1656 0.8927 Al
0.3349 0.1656 0.6073 Al
0.6654 0.3330 0.3245 Al
0.6659 0.3331 0.4753 Al
0.0005 0.0005 0.5000 Al
0.0005 0.0005 0.0000 Al
0.8312 0.1654 0.8927 Al
0.6654 0.3330 0.1755 Al
0.8312 0.1654 0.6073 Al
0.6659 0.3331 0.0247 Al
0.8325 0.6646 0.8941 Al
0.8325 0.6646 0.6059 Al
0.1656 0.3349 0.1073 Al
0.1656 0.3349 0.3927 Al
0.1654 0.8312 0.1073 Al
0.3330 0.6654 0.6755 Al
0.1654 0.8312 0.3927 Al
0.3330 0.6654 0.8245 Al
0.3331 0.6659 0.5247 Al
0.3331 0.6659 0.9753 Al
0.6646 0.8325 0.3941 Al
0.6646 0.8325 0.1059 Al
0.7294 0.4591 0.7500 Ag
0.4591 0.7294 0.2500 Ag
0.3143 0.1576 0.4500 O
0.3143 0.1576 0.0500 O
0.5010 0.0013 0.8549 O
0.5010 0.0013 0.6451 O
0.6476 0.3236 0.2500 O
0.8414 0.1563 0.0494 O
0.5048 0.4966 0.8538 O
0.5048 0.4966 0.6462 O
0.9980 0.9994 0.3589 O
0.9980 0.9994 0.1411 O
0.9994 0.9980 0.8589 O
0.9994 0.9980 0.6411 O
0.6662 0.3323 0.9444 O
0.6662 0.3323 0.5556 O
0.8414 0.1563 0.4506 O
0.1576 0.3143 0.9500 O
0.1576 0.3143 0.5500 O
0.9928 0.4967 0.6460 O
0.9928 0.4967 0.8540 O
0.0013 0.5010 0.1451 O
0.0013 0.5010 0.3549 O
0.8411 0.6853 0.4504 O
0.8411 0.6853 0.0496 O
0.3323 0.6662 0.0556 O
0.3236 0.6476 0.7500 O
0.4966 0.5048 0.1462 O
0.4966 0.5048 0.3538 O
0.1563 0.8414 0.5494 O
0.1563 0.8414 0.9506 O
0.3323 0.6662 0.4444 O
0.4967 0.9928 0.3540 O
0.4967 0.9928 0.1460 O
0.6853 0.8411 0.5496 O
0.6853 0.8411 0.9504 O
```

M_tot = 0.0 μB per cell
Raw formation energy = -2.840 eV per atom
Volume = 10.9 Å³ per atom
Fermi-level density of states = 0.000 states/eV per cell
Theoretical density = 3.6 g/cm3
Space group = No. 40

---

A relaxed Al11AgO17 crystal, computed with PBE-GGA.

POSCAR file:
```
Al11AgO17
1.0
5.6485 0.0000 0.0000
-2.8242 4.8998 0.0000
0.0000 0.0000 22.8084
Al Ag O
22 2 34
direct
0.3327 0.6654 0.1059 Al
0.3327 0.6654 0.3941 Al
0.1665 0.3331 0.8245 Al
0.1670 0.3340 0.9753 Al
0.1665 0.3331 0.6755 Al
0.3317 0.1667 0.3927 Al
0.5000 0.0000 0.0000 Al
0.5000 0.0000 0.5000 Al
0.1670 0.3340 0.5247 Al
0.3317 0.1667 0.1073 Al
0.1650 0.8333 0.8927 Al
0.1650 0.8333 0.6073 Al
0.8350 0.1667 0.3927 Al
0.8350 0.1667 0.1073 Al
0.8335 0.6669 0.3245 Al
0.6683 0.8333 0.6073 Al
0.6683 0.8333 0.8927 Al
0.8330 0.6660 0.0247 Al
0.8335 0.6669 0.1755 Al
0.8330 0.6660 0.4753 Al
0.6673 0.3346 0.6059 Al
0.6673 0.3346 0.8941 Al
0.2326 0.4652 0.2500 Ag
0.7674 0.5348 0.7500 Ag
0.3427 0.6854 0.9498 O
0.3427 0.6854 0.5502 O
0.4928 0.4976 0.3539 O
0.4928 0.4976 0.1461 O
0.1749 0.3498 0.7500 O
0.1666 0.3332 0.4444 O
0.3440 0.1587 0.9506 O
0.0048 0.4976 0.3539 O
0.5007 0.0014 0.8589 O
0.3440 0.1587 0.5494 O
0.5007 0.0014 0.6411 O
0.4993 0.9986 0.3589 O
0.4993 0.9986 0.1411 O
0.1666 0.3332 0.0556 O
0.0048 0.4976 0.1461 O
0.1853 0.8413 0.4506 O
0.1853 0.8413 0.0494 O
0.0011 0.0021 0.3550 O
0.0011 0.0021 0.1450 O
0.9989 0.9979 0.6450 O
0.9989 0.9979 0.8550 O
0.8147 0.1587 0.9506 O
0.8147 0.1587 0.5494 O
0.8334 0.6668 0.5556 O
0.9952 0.5024 0.8539 O
0.9952 0.5024 0.6461 O
0.6560 0.8413 0.4506 O
0.6560 0.8413 0.0494 O
0.8334 0.6668 0.9444 O
0.8251 0.6502 0.2500 O
0.5072 0.5024 0.8539 O
0.5072 0.5024 0.6461 O
0.6573 0.3146 0.0502 O
0.6573 0.3146 0.4498 O
```

M_tot = 0.0 μB per cell
Raw formation energy = -2.840 eV per atom
Volume = 10.9 Å³ per atom
Fermi-level density of states = 0.000 states/eV per cell
Theoretical density = 3.6 g/cm3
Space group = No. 63

---

A relaxed Al3AgO crystal, computed with PBE-GGA.

POSCAR file:
```
Al3AgO
1.0
4.7328 0.0000 0.0000
0.0000 4.7328 0.0000
0.0000 0.0000 4.7328
O Al Ag
1 3 1
direct
0.5000 0.5000 0.5000 O
0.0000 0.5000 0.0000 Al
0.0000 0.0000 0.5000 Al
0.5000 0.0000 0.0000 Al
0.0000 0.0000 0.0000 Ag
```

Energy above the lowest structure with this stoichiometry = 873 meV/atom
M_tot = 0.0 μB per cell
Raw formation energy = 0.580 eV per atom
Volume = 21.2 Å³ per atom
Fermi-level density of states = 0.327 states/eV per cell
Theoretical density = 3.2 g/cm3
Space group = No. 221

---

A relaxed Al3AgO crystal, computed with PBE-GGA.

POSCAR file:
```
Al3AgO
1.0
4.2157 0.0000 0.0000
0.0000 4.2157 0.0000
0.0000 0.0000 4.2157
O Al Ag
1 3 1
direct
0.0000 0.0000 0.0000 O
0.0000 0.5000 0.0000 Al
0.0000 0.0000 0.5000 Al
0.5000 0.0000 0.0000 Al
0.5000 0.5000 0.5000 Ag
```

Energy above the lowest structure with this stoichiometry = 0 meV/atom
M_tot = 0.0 μB per cell
Raw formation energy = -0.293 eV per atom
Volume = 15.0 Å³ per atom
Fermi-level density of states = 2.553 states/eV per cell
Theoretical density = 4.5 g/cm3
Space group = No. 221